Computed, not measured: a relaxed InSiRh2 crystal at the PBE level of DFT.

```
InSiRh2
1.0
6.3264 0.0000 0.0000
0.0000 6.3264 0.0000
0.0000 0.0000 6.3264
In Si Rh
4 4 8
Direct
0.0000 0.0000 0.0000 In
0.0000 0.5000 0.5000 In
0.5000 0.0000 0.5000 In
0.5000 0.5000 0.0000 In
0.2500 0.2500 0.2500 Si
0.2500 0.7500 0.7500 Si
0.7500 0.2500 0.7500 Si
0.7500 0.7500 0.2500 Si
0.0000 0.0000 0.5000 Rh
0.0000 0.5000 0.0000 Rh
0.2500 0.2500 0.7500 Rh
0.2500 0.7500 0.2500 Rh
0.5000 0.0000 0.0000 Rh
0.5000 0.5000 0.5000 Rh
0.7500 0.2500 0.2500 Rh
0.7500 0.7500 0.7500 Rh
```

Computed properties:
Crystal system: cubic
Magnetization, Bohr magnetons per cell: 0.000
Density of states at the Fermi level, states/eV/atom: 1.09
DFT total energy, eV/cell: -90.584



Computed, not measured: a relaxed InSiRh2 crystal at the PBE level of DFT.

```
InSiRh2
1.0
3.7612 0.0000 0.0000
-1.8806 3.2573 0.0000
0.0000 0.0000 16.5323
In Si Rh
3 3 6
Direct
0.0000 0.0000 0.0000 In
0.3333 0.6667 0.6667 In
0.6667 0.3333 0.3333 In
0.0000 0.0000 0.1721 Si
0.3333 0.6667 0.8388 Si
0.6667 0.3333 0.5054 Si
0.0000 0.0000 0.5625 Rh
0.0000 0.0000 0.7750 Rh
0.3333 0.6667 0.2292 Rh
0.3333 0.6667 0.4416 Rh
0.6667 0.3333 0.1083 Rh
0.6667 0.3333 0.8958 Rh
```

Computed properties:
Crystal system: trigonal
Magnetization, Bohr magnetons per cell: 0.000
Density of states at the Fermi level, states/eV/atom: 0.29
DFT total energy, eV/cell: -75.129



Computed, not measured: a relaxed InSiRh2 crystal at the PBE level of DFT.

```
InSiRh2
1.0
3.0313 0.0000 0.0000
0.0000 3.5687 0.0000
0.0000 0.0000 12.2135
In Si Rh
2 2 4
Direct
0.0000 0.0000 0.0000 In
0.5000 0.5000 0.5000 In
0.0000 0.5000 0.2630 Si
0.5000 0.0000 0.7630 Si
0.0000 0.0000 0.6157 Rh
0.0000 0.5000 0.8234 Rh
0.5000 0.0000 0.3234 Rh
0.5000 0.5000 0.1157 Rh
```

Computed properties:
Crystal system: orthorhombic
Magnetization, Bohr magnetons per cell: 0.000
Density of states at the Fermi level, states/eV/atom: 0.26
DFT total energy, eV/cell: -49.691



Computed, not measured: a relaxed InSiRh3 crystal at the PBE level of DFT.

```
InSiRh3
1.0
4.4189 0.0000 0.0000
0.0000 4.4189 0.0000
0.0000 0.0000 4.4189
In Si Rh
1 1 3
Direct
0.0000 0.0000 0.0000 In
0.5000 0.5000 0.5000 Si
0.0000 0.5000 0.5000 Rh
0.5000 0.0000 0.5000 Rh
0.5000 0.5000 0.0000 Rh
```

Computed properties:
Crystal system: cubic
Magnetization, Bohr magnetons per cell: 0.000
Density of states at the Fermi level, states/eV/atom: 0.08
Excess energy over the best structure of this formula in the dataset, eV per atom: 0.237
DFT total energy, eV/cell: -30.994



Computed, not measured: a relaxed InSi2Rh crystal at the PBE level of DFT.

```
InSi2Rh
1.0
4.2943 0.0000 0.0000
0.0000 4.2943 0.0000
0.0000 0.0000 16.1730
In Si Rh
4 8 4
Direct
0.0000 0.0000 0.0000 In
0.0000 0.5000 0.2500 In
0.5000 0.0000 0.7500 In
0.5000 0.5000 0.5000 In
0.1576 0.2500 0.6250 Si
0.2500 0.6576 0.8750 Si
0.2500 0.8424 0.3750 Si
0.3424 0.2500 0.1250 Si
0.6576 0.7500 0.1250 Si
0.7500 0.1576 0.3750 Si
0.7500 0.3424 0.8750 Si
0.8424 0.7500 0.6250 Si
0.0000 0.0000 0.5000 Rh
0.0000 0.5000 0.7500 Rh
0.5000 0.0000 0.2500 Rh
0.5000 0.5000 0.0000 Rh
```

Computed properties:
Crystal system: tetragonal
Magnetization, Bohr magnetons per cell: 0.000
Density of states at the Fermi level, states/eV/atom: 0.65
DFT total energy, eV/cell: -84.080



Computed, not measured: a relaxed InSi4Rh crystal at the PBE level of DFT.

```
InSi4Rh
1.0
0.0000 3.6528 3.6528
3.6528 0.0000 3.6528
3.6528 3.6528 0.0000
In Si Rh
1 4 1
Direct
0.0000 0.0000 0.0000 In
0.3754 0.3754 0.3754 Si
0.3754 0.3754 0.8737 Si
0.3754 0.8737 0.3754 Si
0.8737 0.3754 0.3754 Si
0.7500 0.7500 0.7500 Rh
```

Computed properties:
Crystal system: cubic
Magnetization, Bohr magnetons per cell: 0.000
Density of states at the Fermi level, states/eV/atom: 0.64
DFT total energy, eV/cell: -29.079



Number 1: raw formation energy 0.05 eV/atom. Number 2: raw formation energy -0.54 eV/atom. Number 3: raw formation energy -0.50 eV/atom. Number 4: raw formation energy -0.16 eV/atom. Number 5: raw formation energy -0.02 eV/atom. Number 6: raw formation energy 0.45 eV/atom.